No. 1
## La3HfRu (GGA-PBE)

Data for an optimized crystal structure of La3HfRu.

POSCAR file:
```
La3HfRu
1.0
5.5361 0.0000 0.0000
0.0000 5.5361 0.0000
0.0000 0.0000 5.5361
La Hf Ru
3 1 1
Cartesian
0.0000 0.0000 2.7681 La
0.0000 2.7681 0.0000 La
2.7681 0.0000 0.0000 La
0.0000 0.0000 0.0000 Hf
2.7681 2.7681 2.7681 Ru
```

Properties
Its energy of formation from the pure elements is 1231 meV/atom. The total magnetic moment is 0.00 μB per formula unit. The distance to the lowest polymorph of the same formula comes out at 956 meV per atom. Its density of states at the Fermi level is 1.90 states/eV/atom. The electronic total energy comes out at -5.572 eV per atom.

No. 2
## La2HfRu (GGA-PBE)

Data for an optimized crystal structure of La2HfRu.

POSCAR file:
```
La2HfRu
1.0
7.3687 0.0000 0.0000
0.0000 7.3687 0.0000
0.0000 0.0000 7.3687
La Hf Ru
8 4 4
Cartesian
1.8422 1.8422 1.8422 La
1.8422 1.8422 5.5265 La
1.8422 5.5265 1.8422 La
1.8422 5.5265 5.5265 La
5.5265 1.8422 1.8422 La
5.5265 1.8422 5.5265 La
5.5265 5.5265 1.8422 La
5.5265 5.5265 5.5265 La
0.0000 0.0000 0.0000 Hf
0.0000 3.6844 3.6844 Hf
3.6844 0.0000 3.6844 Hf
3.6844 3.6844 0.0000 Hf
0.0000 0.0000 3.6844 Ru
0.0000 3.6844 0.0000 Ru
3.6844 0.0000 0.0000 Ru
3.6844 3.6844 3.6844 Ru
```

Properties
Its energy of formation from the pure elements is 328 meV/atom. The total magnetic moment is 0.00 μB per formula unit. The distance to the lowest polymorph of the same formula comes out at 35 meV per atom. Its density of states at the Fermi level is 1.67 states/eV/atom. The electronic total energy comes out at -6.943 eV per atom.

No. 3
## LaHf2Ru2 (GGA-PBE)

Data for an optimized crystal structure of LaHf2Ru2.

POSCAR file:
```
LaHf2Ru2
1.0
7.9719 0.0000 0.0000
0.0000 7.9719 0.0000
0.0000 0.0000 3.2345
La Hf Ru
2 4 4
Cartesian
0.0000 0.0000 0.0000 La
3.9860 3.9860 0.0000 La
1.1178 2.8681 1.6172 Hf
2.8681 6.8541 1.6172 Hf
5.1038 1.1178 1.6172 Hf
6.8541 5.1038 1.6172 Hf
1.1787 5.1647 0.0000 Ru
2.8072 1.1787 0.0000 Ru
5.1647 6.7932 0.0000 Ru
6.7932 2.8072 0.0000 Ru
```

Properties
Its energy of formation from the pure elements is -316 meV/atom. The total magnetic moment is 0.00 μB per formula unit. The distance to the lowest polymorph of the same formula comes out at 104 meV per atom. Its density of states at the Fermi level is 0.69 states/eV/atom. The electronic total energy comes out at -8.993 eV per atom.

No. 4
## LaHf2Ru (GGA-PBE)

Data for an optimized crystal structure of LaHf2Ru.

POSCAR file:
```
LaHf2Ru
1.0
4.1766 0.0000 0.0000
0.0000 4.1766 0.0000
0.0000 0.0000 21.2256
La Hf Ru
4 8 4
Cartesian
0.0000 0.0000 0.0000 La
0.0000 2.0883 5.3064 La
2.0883 0.0000 15.9192 La
2.0883 2.0883 10.6128 La
0.9799 3.1324 13.2660 Hf
1.0441 0.9799 7.9596 Hf
1.0441 1.1084 18.5724 Hf
1.1084 3.1324 2.6532 Hf
3.0682 1.0441 2.6532 Hf
3.1324 3.0682 18.5724 Hf
3.1324 3.1967 7.9596 Hf
3.1967 1.0441 13.2660 Hf
0.0000 0.0000 10.6128 Ru
0.0000 2.0883 15.9192 Ru
2.0883 0.0000 5.3064 Ru
2.0883 2.0883 0.0000 Ru
```

Properties
Its energy of formation from the pure elements is 446 meV/atom. The total magnetic moment is 0.00 μB per formula unit. The distance to the lowest polymorph of the same formula comes out at 359 meV per atom. Its density of states at the Fermi level is 1.51 states/eV/atom. The electronic total energy comes out at -8.081 eV per atom.

No. 5
## LaHf2Ru2 (GGA-PBE)

Data for an optimized crystal structure of LaHf2Ru2.

POSCAR file:
```
LaHf2Ru2
1.0
4.3801 0.0000 0.0000
0.0000 4.3801 0.0000
0.0000 0.0000 11.6477
La Hf Ru
2 4 4
Cartesian
0.0000 0.0000 0.0000 La
2.1900 2.1900 5.8239 La
0.0000 2.1900 2.9119 Hf
0.0000 2.1900 8.7358 Hf
2.1900 0.0000 2.9119 Hf
2.1900 0.0000 8.7358 Hf
0.0000 0.0000 4.4856 Ru
0.0000 0.0000 7.1622 Ru
2.1900 2.1900 1.3383 Ru
2.1900 2.1900 10.3095 Ru
```

Properties
Its energy of formation from the pure elements is -420 meV/atom. The total magnetic moment is 0.00 μB per formula unit. The distance to the lowest polymorph of the same formula comes out at 0 meV per atom. Its density of states at the Fermi level is 0.94 states/eV/atom. The electronic total energy comes out at -9.097 eV per atom.

No. 6
## La3HfRu (GGA-PBE)

Data for an optimized crystal structure of La3HfRu.

POSCAR file:
```
La3HfRu
1.0
5.4704 0.0000 0.0000
0.0000 5.4704 0.0000
0.0000 0.0000 5.4704
La Hf Ru
3 1 1
Cartesian
0.0000 0.0000 2.7352 La
0.0000 2.7352 0.0000 La
2.7352 0.0000 0.0000 La
2.7352 2.7352 2.7352 Hf
0.0000 0.0000 0.0000 Ru
```

Properties
Its energy of formation from the pure elements is 274 meV/atom. The total magnetic moment is 2.14 μB per formula unit. The distance to the lowest polymorph of the same formula comes out at 0 meV per atom. Its density of states at the Fermi level is 1.43 states/eV/atom. The electronic total energy comes out at -6.528 eV per atom.